Here is CdReTc4 after structural relaxation from the Alexandria database. Energies are from PBE-GGA.

As for the electronic total energy: -8.71 eV/atom. The calculation puts the density at 12.0 Mg/m³.

It has space group F-43m (No. 216), with a = 7.2568 Å, b = 7.2568 Å, c = 7.2568 Å, α = 90.00°, β = 90.00° and γ = 90.00°. The distinct sites, in fractional coordinates, are Cd at (0.0000, 0.0000, 0.0000), Re at (0.2500, 0.2500, 0.7500) and Tc at (0.1256, 0.1256, 0.3744).



Here is La2InSnRu after structural relaxation from the Alexandria database. Energies are from PBE-GGA.

As for the electronic total energy: -5.59 eV/atom. The calculation puts the density at 6.7 Mg/m³.

It has space group P4/mmm (No. 123), with a = 5.4200 Å, b = 5.4200 Å, c = 5.1834 Å, α = 90.00°, β = 90.00° and γ = 90.00°. The distinct sites, in fractional coordinates, are La at (0.0000, 0.5000, 0.0000), In at (0.0000, 0.0000, 0.5000), Sn at (0.5000, 0.5000, 0.5000) and Ru at (0.5000, 0.5000, 0.0000).



Here is NpScGa2O8 after structural relaxation from the Alexandria database. Energies are from PBE-GGA.

Its formation energy from raw total energies is -27.0 eV per formula unit. The calculation puts the density at 6.1 Mg/m³.

It has space group I-4m2 (No. 119), with a = 6.7084 Å, b = 6.7084 Å, c = 6.6311 Å, α = 90.00°, β = 90.00° and γ = 90.00°. The distinct sites, in fractional coordinates, are Np at (0.0000, 0.0000, 0.0000), Sc at (0.0000, 0.5000, 0.7500), Ga at (0.0000, 0.0000, 0.5000), Ga at (0.0000, 0.5000, 0.2500), O at (0.0000, 0.1888, 0.7028) and O at (0.0000, 0.3039, 0.0559).



Here is CuHIrW2 after structural relaxation from the Alexandria database. Energies are from PBE-GGA.

As for the electronic total energy: -8.23 eV/atom. The calculation puts the density at 16.9 Mg/m³.

It has space group P4/mmm (No. 123), with a = 3.9150 Å, b = 3.9150 Å, c = 4.0044 Å, α = 90.00°, β = 90.00° and γ = 90.00°. The distinct sites, in fractional coordinates, are Cu at (0.0000, 0.0000, 0.0000), H at (0.0000, 0.0000, 0.5000), Ir at (0.5000, 0.5000, 0.0000) and W at (0.0000, 0.5000, 0.5000).



Here is TmFe2Co9 after structural relaxation from the Alexandria database. Energies are from PBE-GGA.

As for the electronic total energy: -7.20 eV/atom. The calculation puts the density at 9.0 Mg/m³.

It has space group P4/mbm (No. 127), with a = 7.9898 Å, b = 7.9898 Å, c = 4.6667 Å, α = 90.00°, β = 90.00° and γ = 90.00°. The distinct sites, in fractional coordinates, are Tm at (0.0000, 0.0000, 0.0000), Fe at (0.1159, 0.3841, 0.0000), Co at (0.0000, 0.5000, 0.5000), Co at (0.0645, 0.2124, 0.5000) and Co at (0.1789, 0.6789, 0.2345).



Here is CrFe2P after structural relaxation from the Alexandria database. Energies are from PBE-GGA.

As for the electronic total energy: -8.12 eV/atom. The calculation puts the density at 7.3 Mg/m³.

It has space group Amm2 (No. 38), with a = 3.6011 Å, b = 2.6360 Å, c = 9.3847 Å, α = 90.00°, β = 90.00° and γ = 90.00°. The distinct sites, in fractional coordinates, are Cr at (0.0000, 0.0000, 0.0000), Fe at (0.0000, 0.0000, 0.2605), Fe at (0.5000, 0.0000, 0.6437) and P at (0.5000, 0.0000, 0.3943).



Here is CrTc2Ge after structural relaxation from the Alexandria database. Energies are from PBE-GGA.

As for the electronic total energy: -8.17 eV/atom. The calculation puts the density at 8.1 Mg/m³.

It has space group Immm (No. 71), with a = 2.8295 Å, b = 4.0215 Å, c = 11.5222 Å, α = 90.00°, β = 90.00° and γ = 90.00°. The distinct sites, in fractional coordinates, are Cr at (0.0000, 0.0000, 0.0000), Tc at (0.0000, 0.0000, 0.2919) and Ge at (0.0000, 0.0000, 0.5000).



Here is Mg2GaH after structural relaxation from the Alexandria database. Energies are from PBE-GGA.

As for the electronic total energy: -2.43 eV/atom. The calculation puts the density at 3.0 Mg/m³.

It has space group P2/c (No. 13), with a = 5.4783 Å, b = 5.3866 Å, c = 10.3334 Å, α = 90.00°, β = 119.59° and γ = 90.00°. The distinct sites, in fractional coordinates, are Mg at (0.0201, 0.2230, 0.4192), Mg at (0.3134, 0.3692, 0.8425), Ga at (0.4852, 0.1205, 0.3756) and H at (0.0287, 0.4155, 0.6298).



Here is SbTeIr4 after structural relaxation from the Alexandria database. Energies are from PBE-GGA.

Its formation energy from raw total energies is 3.4 eV per formula unit. The calculation puts the density at 15.5 Mg/m³.

It has space group F-43m (No. 216), with a = 7.5912 Å, b = 7.5912 Å, c = 7.5912 Å, α = 90.00°, β = 90.00° and γ = 90.00°. The distinct sites, in fractional coordinates, are Sb at (0.0000, 0.0000, 0.0000), Te at (0.2500, 0.2500, 0.7500) and Ir at (0.1249, 0.1249, 0.3751).



Here is YPSe2 after structural relaxation from the Alexandria database. Energies are from PBE-GGA.

Its formation energy from raw total energies is -2.6 eV per formula unit. The calculation puts the density at 5.2 Mg/m³.

It has space group Pmmm (No. 47), with a = 3.9014 Å, b = 3.9085 Å, c = 5.7852 Å, α = 90.00°, β = 90.00° and γ = 90.00°. The distinct sites, in fractional coordinates, are Y at (0.0000, 0.0000, 0.0000), P at (0.0000, 0.5000, 0.5000), Se at (0.5000, 0.0000, 0.5000) and Se at (0.5000, 0.5000, 0.0000).



Here is TaSnH3 after structural relaxation from the Alexandria database. Energies are from PBE-GGA.

As for the electronic total energy: -3.95 eV/atom. The calculation puts the density at 9.3 Mg/m³.

It has space group Pm-3m (No. 221), with a = 3.7863 Å, b = 3.7863 Å, c = 3.7863 Å, α = 90.00°, β = 90.00° and γ = 90.00°. The distinct sites, in fractional coordinates, are Ta at (0.0000, 0.0000, 0.0000), Sn at (0.5000, 0.5000, 0.5000) and H at (0.0000, 0.5000, 0.5000).



Here is GaPdRuCl2 after structural relaxation from the Alexandria database. Energies are from PBE-GGA.

Its formation energy from raw total energies is 2.0 eV per formula unit. The calculation puts the density at 5.2 Mg/m³.

It has space group P4/mmm (No. 123), with a = 4.7167 Å, b = 4.7167 Å, c = 4.9673 Å, α = 90.00°, β = 90.00° and γ = 90.00°. The distinct sites, in fractional coordinates, are Ga at (0.0000, 0.0000, 0.0000), Pd at (0.5000, 0.5000, 0.0000), Ru at (0.0000, 0.0000, 0.5000) and Cl at (0.0000, 0.5000, 0.5000).



Here is Ce8HgRu2 after structural relaxation from the Alexandria database. Energies are from PBE-GGA.

As for the electronic total energy: -6.18 eV/atom. The calculation puts the density at 8.9 Mg/m³.

It has space group C2/m (No. 12), with a = 8.3480 Å, b = 13.1353 Å, c = 5.3641 Å, α = 90.00°, β = 105.01° and γ = 90.00°. The distinct sites, in fractional coordinates, are Ce at (0.0000, 0.2494, 0.0000), Ce at (0.0828, 0.0000, 0.8142), Ce at (0.2049, 0.3930, 0.5647), Hg at (0.0000, 0.5000, 0.0000) and Ru at (0.0000, 0.2128, 0.5000).



Here is MgTiAg2Ru after structural relaxation from the Alexandria database. Energies are from PBE-GGA.

As for the electronic total energy: -3.84 eV/atom. The calculation puts the density at 6.5 Mg/m³.

It has space group P4/mmm (No. 123), with a = 4.5880 Å, b = 4.5880 Å, c = 4.6939 Å, α = 90.00°, β = 90.00° and γ = 90.00°. The distinct sites, in fractional coordinates, are Mg at (0.0000, 0.0000, 0.0000), Ti at (0.5000, 0.5000, 0.5000), Ag at (0.0000, 0.5000, 0.0000) and Ru at (0.0000, 0.0000, 0.5000).



Here is InSnCl3 after structural relaxation from the Alexandria database. Energies are from PBE-GGA.

Its formation energy from raw total energies is -4.4 eV per formula unit. The calculation puts the density at 3.2 Mg/m³.

It has space group C2/m (No. 12), with a = 17.5514 Å, b = 4.3644 Å, c = 9.7708 Å, α = 90.00°, β = 111.00° and γ = 90.00°. The distinct sites, in fractional coordinates, are In at (0.1512, 0.0000, 0.4111), Sn at (0.1305, 0.5000, 0.8698), Cl at (0.0123, 0.0000, 0.7853), Cl at (0.1176, 0.5000, 0.5856) and Cl at (0.2010, 0.0000, 0.0907).



Here is CaScPt4 after structural relaxation from the Alexandria database. Energies are from PBE-GGA.

As for the electronic total energy: -6.33 eV/atom. The calculation puts the density at 13.0 Mg/m³.

It has space group F-43m (No. 216), with a = 7.6129 Å, b = 7.6129 Å, c = 7.6129 Å, α = 90.00°, β = 90.00° and γ = 90.00°. The distinct sites, in fractional coordinates, are Ca at (0.0000, 0.0000, 0.0000), Sc at (0.2500, 0.2500, 0.2500) and Pt at (0.1250, 0.1250, 0.6250).



Here is RbAl2Te2 after structural relaxation from the Alexandria database. Energies are from PBE-GGA.

Its formation energy from raw total energies is -1.2 eV per formula unit. The calculation puts the density at 3.6 Mg/m³.

It has space group I4/mmm (No. 139), with a = 5.3645 Å, b = 5.3645 Å, c = 12.7787 Å, α = 90.00°, β = 90.00° and γ = 90.00°. The distinct sites, in fractional coordinates, are Rb at (0.0000, 0.0000, 0.0000), Al at (0.0000, 0.5000, 0.2500) and Te at (0.0000, 0.0000, 0.3326).



Here is Be3NbCd after structural relaxation from the Alexandria database. Energies are from PBE-GGA.

As for the electronic total energy: -3.29 eV/atom. The calculation puts the density at 5.1 Mg/m³.

It has space group Pm-3m (No. 221), with a = 4.2306 Å, b = 4.2306 Å, c = 4.2306 Å, α = 90.00°, β = 90.00° and γ = 90.00°. The distinct sites, in fractional coordinates, are Be at (0.0000, 0.0000, 0.5000), Nb at (0.5000, 0.5000, 0.5000) and Cd at (0.0000, 0.0000, 0.0000).



Here is SrCr2Hg after structural relaxation from the Alexandria database. Energies are from PBE-GGA.

As for the electronic total energy: -4.64 eV/atom. The calculation puts the density at 6.6 Mg/m³.

It has space group Pmmm (No. 47), with a = 3.5313 Å, b = 3.8134 Å, c = 7.3463 Å, α = 90.00°, β = 90.00° and γ = 90.00°. The distinct sites, in fractional coordinates, are Sr at (0.0000, 0.0000, 0.0000), Cr at (0.5000, 0.5000, 0.3060) and Hg at (0.0000, 0.0000, 0.5000).



Here is Ba2SiSb after structural relaxation from the Alexandria database. Energies are from PBE-GGA.

Its formation energy from raw total energies is -2.3 eV per formula unit. The calculation puts the density at 4.7 Mg/m³.

It has space group Cm (No. 8), with a = 12.4754 Å, b = 4.5649 Å, c = 5.3632 Å, α = 90.00°, β = 99.88° and γ = 90.00°. The distinct sites, in fractional coordinates, are Ba at (0.0000, 0.0000, 0.0000), Ba at (0.2370, 0.5000, 0.5546), Si at (0.2793, 0.0000, 0.0964) and Sb at (0.4484, 0.0000, 0.4579).